Run a
VASP calculation (PBE) on crystalline Li4ZnIr at its relaxed geometry.

The value obtained for the size of the total moment is 0.0 μB/f.u.

Cell: 6.7586 6.7586 6.7586 Å, 90.00 90.00 90.00°
Last column: nearest neighbours and their distance in Å.
Space group F-43m (No. 216)
Asymmetric unit:
Li 0.1231 0.1231 0.3769 (multiplicity 16)  6 Li 2.35-2.43
Zn 0.0000 0.0000 0.0000 (multiplicity 4)  12 Li 2.81, 4 Ir 2.93
Ir 0.2500 0.2500 0.7500 (multiplicity 4)  12 Li 2.80, 4 Zn 2.93

Run b
VASP calculation (PBE) on crystalline Li4ZnIr at its relaxed geometry.

The value obtained for the size of the total moment is 0.0 μB/f.u.

Cell: 9.0548 4.3405 5.1036 Å, 90.00 123.78 90.00°
Last column: nearest neighbours and their distance in Å.
Space group C2/m (No. 12)
Asymmetric unit:
Li 0.1655 0.0000 0.3776 (multiplicity 4)  5 Li 2.47-2.64, 2 Ir 2.73, 1 Zn 2.73
Li 0.1668 0.0000 0.8959 (multiplicity 4)  5 Li 2.47-2.64, 1 Ir 2.76
Zn 0.0000 0.5000 0.5000 (multiplicity 2)  2 Ir 2.55, 6 Li 2.73-2.77
Ir 0.0000 0.5000 0.0000 (multiplicity 2)  2 Zn 2.55, 10 Li 2.73-2.86

Which one sits at the top of the stability order? run b does.

Run a
VASP calculation (PBE) on crystalline Li6Zn2Ir at its relaxed geometry.

The value obtained for the size of the total moment is 0.0 μB/f.u.

Cell: 7.0987 13.4427 2.9628 Å, 90.00 98.60 90.00°
Last column: nearest neighbours and their distance in Å.
Space group C2/m (No. 12)
Asymmetric unit:
Li 0.1757 0.1668 0.3590 (multiplicity 8)  4 Li 2.56-2.75, 3 Zn 2.68-2.80
Li 0.1979 0.0000 0.8757 (multiplicity 4)  2 Ir 2.56-2.61, 4 Li 2.68-2.71
Zn 0.0000 0.3425 0.0000 (multiplicity 4)  2 Ir 2.58, 6 Li 2.68-2.80
Ir 0.0000 0.5000 0.5000 (multiplicity 2)  4 Li 2.56-2.61, 4 Zn 2.58

Run b
VASP calculation (PBE) on crystalline Li6Zn2Ir at its relaxed geometry.

The value obtained for the size of the total moment is 0.0 μB/f.u.

Cell: 12.9921 4.1028 5.5701 Å, 90.00 111.93 90.00°
Last column: nearest neighbours and their distance in Å.
Space group C2/m (No. 12)
Asymmetric unit:
Li 0.0980 0.0000 0.1544 (multiplicity 4)  4 Li 2.48-2.72, 1 Ir 2.68, 2 Zn 2.71
Li 0.1514 0.5000 0.4828 (multiplicity 4)  2 Zn 2.56-2.59, 4 Li 2.66-2.69, 2 Ir 2.87
Li 0.2057 0.0000 0.8185 (multiplicity 4)  1 Ir 2.60, 5 Li 2.69-2.81, 2 Zn 2.83
Zn 0.0543 0.5000 0.8133 (multiplicity 4)  6 Li 2.56-2.83, 2 Ir 2.61
Ir 0.0000 0.0000 0.5000 (multiplicity 2)  8 Li 2.60-2.87, 4 Zn 2.61

Which one sits at the top of the stability order? run b does.

Run a
VASP calculation (PBE) on crystalline LiZn6Ir2 at its relaxed geometry.

The value obtained for the size of the total moment is 0.0 μB/f.u.

Cell: 9.1075 5.2593 5.1432 Å, 90.00 90.07 90.00°
Last column: nearest neighbours and their distance in Å.
Space group C2/m (No. 12)
Asymmetric unit:
Li 0.0000 0.0000 0.0000 (multiplicity 2)  6 Zn 2.26
Zn 0.0888 0.2666 0.6935 (multiplicity 8)  1 Li 2.26, 2 Zn 2.46
Zn 0.1778 0.0000 0.3073 (multiplicity 4)  1 Li 2.26, 2 Zn 2.46
Ir 0.1667 0.5000 0.1589 (multiplicity 4)  9 Zn 2.74-2.79

Run b
VASP calculation (PBE) on crystalline LiZn6Ir2 at its relaxed geometry.

The value obtained for the size of the total moment is 0.0 μB/f.u.

Cell: 4.2962 4.2962 7.9707 Å, 90.00 90.00 120.00°
Last column: nearest neighbours and their distance in Å.
Space group P-3m1 (No. 164)
Asymmetric unit:
Li 0.0000 0.0000 0.0000 (multiplicity 1)  8 Zn 2.51-2.59
Zn 0.0000 0.0000 0.3148 (multiplicity 2)  1 Li 2.51, 3 Ir 2.56, 3 Zn 2.64
Zn 0.3333 0.6667 0.5721 (multiplicity 2)  7 Zn 2.64-2.73, 4 Ir 2.67-2.91
Zn 0.3333 0.6667 0.9056 (multiplicity 2)  3 Li 2.59, 4 Ir 2.65-2.73, 4 Zn 2.66-2.90
Ir 0.3333 0.6667 0.2375 (multiplicity 2)  8 Zn 2.56-2.73

Which one sits at the top of the stability order? run b does.

Run a
VASP calculation (PBE) on crystalline Li2Zn6Ir at its relaxed geometry.

The value obtained for the size of the total moment is 0.0 μB/f.u.

Cell: 4.2804 4.2804 8.0320 Å, 90.00 90.00 120.00°
Last column: nearest neighbours and their distance in Å.
Space group P-3m1 (No. 164)
Asymmetric unit:
Li 0.3333 0.6667 0.2942 (multiplicity 2)  8 Zn 2.56-2.77
Zn 0.0000 0.0000 0.1746 (multiplicity 2)  1 Ir 2.61, 3 Li 2.65, 4 Zn 2.67-2.80
Zn 0.3333 0.6667 0.6126 (multiplicity 2)  4 Li 2.56-2.58, 3 Ir 2.63, 1 Zn 2.71
Zn 0.3333 0.6667 0.9497 (multiplicity 2)  7 Zn 2.60-2.71, 1 Li 2.77
Ir 0.0000 0.0000 0.5000 (multiplicity 1)  8 Zn 2.61-2.63

Run b
VASP calculation (PBE) on crystalline Li2Zn6Ir at its relaxed geometry.

The value obtained for the size of the total moment is 0.0 μB/f.u.

Cell: 6.2142 12.1854 3.8919 Å, 90.00 90.00 90.00°
Last column: nearest neighbours and their distance in Å.
Space group Cmmm (No. 65)
Asymmetric unit:
Li 0.0000 0.1952 0.0000 (multiplicity 4)  10 Zn 2.74-3.01
Zn 0.2030 0.3523 0.5000 (multiplicity 8)  4 Zn 2.52-2.65, 1 Ir 2.58, 2 Li 2.74
Zn 0.2262 0.5000 0.0000 (multiplicity 4)  2 Ir 2.58, 5 Zn 2.65-2.81
Ir 0.0000 0.0000 0.5000 (multiplicity 2)  8 Zn 2.58

Which one sits at the top of the stability order? run a does.

Run a
VASP calculation (PBE) on crystalline Li2Zn4Ir at its relaxed geometry.

The value obtained for the size of the total moment is 0.0 μB/f.u.

Cell: 5.3958 6.5100 6.6069 Å, 90.47 112.35 90.51°
Last column: nearest neighbours and their distance in Å.
Space group P1 (No. 1)
Asymmetric unit:
Li 0.0000 0.0000 0.0000 (multiplicity 1)  7 Zn 2.56-2.79, 2 Li 2.67-2.73
Li 0.0322 0.8926 0.5354 (multiplicity 1)  4 Zn 2.53-2.70
Li 0.4921 0.0021 0.9942 (multiplicity 1)  7 Zn 2.59-2.83, 2 Li 2.67-2.73
Li 0.6637 0.3965 0.8732 (multiplicity 1)  4 Zn 2.58-2.73, 2 Ir 2.73-2.80
Zn 0.1114 0.2551 0.7536 (multiplicity 1)  3 Li 2.56-2.70, 2 Ir 2.59-2.62, 2 Zn 2.60-2.65
Zn 0.1536 0.6516 0.8589 (multiplicity 1)  3 Li 2.54-2.83, 4 Zn 2.65-2.83, 2 Ir 2.73-2.74
Zn 0.3310 0.3421 0.1691 (multiplicity 1)  4 Zn 2.60-2.84, 2 Ir 2.64, 2 Li 2.78-2.79
Zn 0.3930 0.7800 0.2867 (multiplicity 1)  2 Ir 2.63-2.64, 2 Li 2.63-2.68, 6 Zn 2.68-2.93
Zn 0.5234 0.1404 0.5483 (multiplicity 1)  1 Li 2.58, 3 Zn 2.65-2.82, 2 Ir 2.72-2.76
Zn 0.6132 0.7713 0.7252 (multiplicity 1)  3 Li 2.59-2.62, 2 Ir 2.61-2.63, 4 Zn 2.65-2.83
Zn 0.8498 0.6909 0.1788 (multiplicity 1)  4 Li 2.53-2.76, 2 Ir 2.66-2.69, 2 Zn 2.79-2.83
Zn 0.8888 0.2264 0.2781 (multiplicity 1)  2 Ir 2.57-2.60, 4 Li 2.59-2.73, 1 Zn 2.84
Ir 0.2416 0.5007 0.5032 (multiplicity 1)  8 Zn 2.59-2.76, 2 Ir 2.64-2.76, 2 Li 2.73-2.84
Ir 0.7485 0.5005 0.4940 (multiplicity 1)  8 Zn 2.57-2.73, 2 Ir 2.64-2.76, 1 Li 2.80

Run b
VASP calculation (PBE) on crystalline Li2Zn4Ir at its relaxed geometry.

The value obtained for the size of the total moment is 0.0 μB/f.u.

Cell: 5.5592 5.5592 6.8880 Å, 90.00 90.00 90.00°
Last column: nearest neighbours and their distance in Å.
Space group I4/mmm (No. 139)
Asymmetric unit:
Li 0.0000 0.5000 0.0000 (multiplicity 4)  8 Zn 2.61, 2 Ir 2.78
Zn 0.2500 0.2500 0.2500 (multiplicity 8)  4 Li 2.61, 2 Ir 2.61, 4 Zn 2.78
Ir 0.0000 0.0000 0.0000 (multiplicity 2)  8 Zn 2.61, 4 Li 2.78

Which one sits at the top of the stability order? run b does.

Run a
VASP calculation (PBE) on crystalline LiZr2Ir2 at its relaxed geometry.

The value obtained for the size of the total moment is 0.0 μB/f.u.

Cell: 4.0916 5.6534 7.7042 Å, 90.00 90.00 90.00°
Last column: nearest neighbours and their distance in Å.
Space group Immm (No. 71)
Asymmetric unit:
Li 0.0000 0.0000 0.0000 (multiplicity 2)  4 Ir 2.53
Zr 0.0000 0.5000 0.2019 (multiplicity 4)  6 Ir 2.73-2.90
Ir 0.0000 0.2374 0.5000 (multiplicity 4)  2 Li 2.53, 1 Ir 2.68, 2 Zr 2.73

Run b
VASP calculation (PBE) on crystalline LiZr2Ir2 at its relaxed geometry.

The value obtained for the size of the total moment is 0.0 μB/f.u.

Cell: 7.8984 7.8984 3.0719 Å, 90.00 90.00 90.00°
Last column: nearest neighbours and their distance in Å.
Space group P4/mbm (No. 127)
Asymmetric unit:
Li 0.0000 0.0000 0.0000 (multiplicity 2)  4 Zr 3.01, 2 Li 3.07
Zr 0.1502 0.3498 0.0000 (multiplicity 4)  6 Ir 2.76-2.79, 2 Li 3.01, 2 Zr 3.07
Ir 0.1449 0.6449 0.5000 (multiplicity 4)  6 Zr 2.76-2.79, 2 Ir 3.07

Run c
VASP calculation (PBE) on crystalline LiZr2Ir2 at its relaxed geometry.

The value obtained for the size of the total moment is 0.0 μB/f.u.

Cell: 7.7599 7.7599 3.1612 Å, 90.00 90.00 90.00°
Last column: nearest neighbours and their distance in Å.
Space group P4/mbm (No. 127)
Asymmetric unit:
Li 0.0000 0.0000 0.0000 (multiplicity 2)  4 Ir 3.00, 2 Li 3.16, 8 Zr 3.33
Zr 0.1558 0.3442 0.5000 (multiplicity 4)  6 Ir 2.74-2.79
Ir 0.1402 0.6402 0.0000 (multiplicity 4)  6 Zr 2.74-2.79, 2 Li 3.00

Which one sits at the top of the stability order? run a does.